Material: SrCaZr2
Method: DFT, PBE
State: optimized geometry

extended XYZ file:
```
4
Lattice="4.720 0.000 0.000 0.000 4.720 0.000 0.000 0.000 5.371" Properties=species:S:1:pos:R:3 pbc="T T T"
Sr 0.000 2.360 2.685
Ca 2.360 0.000 2.685
Zr 0.000 0.000 0.000
Zr 2.360 2.360 0.000
```

## Properties
- SG: P4/mmm (123)
- ΔE to the lowest computed polymorph: 0.3075 eV per atom
- Crystal system: tetragonal
- ΔH_f (0 K): 574 meV/atom
- Energy: -4.620 eV per atom
- Total magnetization: 0.0 μB per formula unit